Below is an optimized crystal structure of HoHfMn2O6, with properties calculated at the PBE+U level.

a = 5.3682 Å, b = 5.3773 Å, c = 5.7637 Å
α = 62.46°, β = 62.49°, γ = 60.13°
Positions (direct):
O 0.3730 0.7321 0.7655
Mn 0.5283 0.5276 0.4152
O 0.6206 0.2147 0.2329
Mn 0.0102 0.0094 0.9719
O 0.7311 0.1321 0.7647
Ho 0.8046 0.8034 0.5887
O 0.9310 0.6197 0.2330
Hf 0.3155 0.3180 0.0471
O 0.2142 0.9317 0.2346
O 0.1331 0.3729 0.7616

## Properties
M_tot, μB/f.u.: 7.00
VASP energy, eV per cell: -84.73
Density of states at the Fermi level, states/eV/f.u.: 0.000